Density functional theory data (meta-GGA SCAN) for a crystal of BaSr2Ca relaxed with PBEsol.

M_tot = 0.083 μB/f.u.
Space group = No. 44
Calculated volume = 49.84 Å³ per atom
Energy of formation from the pure elements = 0.03 eV per atom
Relative energy among the computed polymorphs = 0.0084 eV per atom

a = 4.6620 Å, b = 6.5491 Å, c = 7.6676 Å
α = 115.28°, β = 107.70°, γ = 90.00°
With the nearest neighbours (Å) after each atom.
Element x y z (fractional)
Sr 0.9947 0.9947 0.9893  2 Ca 3.92, 4 Ba 4.02, 2 Sr 4.04
Sr 0.7476 0.2476 0.4953  4 Ca 4.02, 2 Sr 4.04, 2 Ba 4.08
Ca 0.2533 0.7533 0.5066  6 Sr 3.92-4.02, 2 Ba 4.00
Ba 0.5044 0.5044 0.0088  2 Ca 4.00, 6 Sr 4.02-4.08


Density functional theory data (meta-GGA SCAN) for a crystal of Ni2AgPd relaxed with PBEsol.

M_tot = 1.586 μB/f.u.
Space group = No. 225
Calculated volume = 13.00 Å³ per atom
Energy of formation from the pure elements = 0.24 eV per atom

a = 4.1901 Å, b = 4.1901 Å, c = 4.1901 Å
α = 60.00°, β = 60.00°, γ = 60.00°
With the nearest neighbours (Å) after each atom.
Element x y z (fractional)
Ni 0.2500 0.2500 0.2500  4 Pd 2.57, 4 Ag 2.57
Ni 0.7500 0.7500 0.7500  4 Ag 2.57, 4 Pd 2.57
Pd 0.0000 0.0000 0.0000  8 Ni 2.57
Ag 0.5000 0.5000 0.5000  8 Ni 2.57


Density functional theory data (meta-GGA SCAN) for a crystal of Mg2RuAu relaxed with PBEsol.

M_tot = 0.221 μB/f.u.
Space group = No. 166
Calculated volume = 16.26 Å³ per atom
Energy of formation from the pure elements = -0.13 eV per atom

a = 2.9101 Å, b = 2.9101 Å, c = 9.0241 Å
α = 80.72°, β = 80.72°, γ = 60.00°
With the nearest neighbours (Å) after each atom.
Element x y z (fractional)
Au 0.0000 0.0000 0.0000  6 Mg 2.87, 6 Au 2.91
Mg 0.2458 0.2458 0.2626  3 Ru 2.69, 3 Au 2.87, 6 Mg 2.91
Mg 0.7542 0.7542 0.7374  3 Ru 2.69, 3 Au 2.87, 6 Mg 2.91
Ru 0.5000 0.5000 0.5000  6 Mg 2.69, 6 Ru 2.91


Density functional theory data (meta-GGA SCAN) for a crystal of CrRu2Au relaxed with PBEsol.

M_tot = 0.000 μB/f.u.
Space group = No. 166
Calculated volume = 13.80 Å³ per atom
Energy of formation from the pure elements = 0.19 eV per atom
Relative energy among the computed polymorphs = 0.0000 eV per atom

a = 2.6940 Å, b = 2.6940 Å, c = 8.9205 Å
α = 81.32°, β = 81.32°, γ = 60.00°
With the nearest neighbours (Å) after each atom.
Element x y z (fractional)
Au 0.5000 0.5000 0.5000  6 Au 2.69, 6 Ru 2.89
Cr 0.0000 0.0000 0.0000  6 Ru 2.50, 6 Cr 2.69
Ru 0.2589 0.2589 0.2232  3 Cr 2.50, 6 Ru 2.69
Ru 0.7411 0.7411 0.7768  3 Cr 2.50, 6 Ru 2.69


Density functional theory data (meta-GGA SCAN) for a crystal of Y2AgPb relaxed with PBEsol.

M_tot = 0.000 μB/f.u.
Space group = No. 123
Calculated volume = 24.94 Å³ per atom
Energy of formation from the pure elements = -0.57 eV per atom

a = 3.6572 Å, b = 3.6572 Å, c = 7.4579 Å
α = 90.00°, β = 90.00°, γ = 90.00°
With the nearest neighbours (Å) after each atom.
Element x y z (fractional)
Pb 0.5000 0.5000 0.5000  8 Y 3.26
Y 0.0000 0.0000 0.7664  4 Ag 3.12, 4 Pb 3.26, 1 Y 3.48
Y 0.0000 0.0000 0.2336  4 Ag 3.12, 4 Pb 3.26, 1 Y 3.48
Ag 0.5000 0.5000 0.0000  8 Y 3.12


Question: energy of formation from the pure elements of number 1 (BaSr2Ca)?
Answer: 0.03 eV per atom